[1]
Li2PuSi2: relaxed, GGA-PBE. Values from VASP.

Values from the calculation:
* relative energy among the computed polymorphs: 0 meV per atom
* ρ: 5646 kg/m3
* formation energy without anion corrections: -0.298 eV/atom
* E_tot: -6.099 eV per atom

The structure in Quantum ESPRESSO input format:
```
&SYSTEM
  ibrav = 0, nat = 10, ntyp = 3
/
ATOMIC_SPECIES
Li 6.94 Li.upf
Pu 244.00 Pu.upf
Si 28.09 Si.upf
CELL_PARAMETERS angstrom
4.047 0.000 -0.777
-0.145 3.833 -0.753
0.170 0.332 11.809
ATOMIC_POSITIONS crystal
Li 0.551 0.301 0.102
Li 0.946 0.196 0.891
Li 0.449 0.699 0.898
Li 0.054 0.804 0.109
Pu 0.825 0.575 0.651
Pu 0.175 0.425 0.349
Si 0.725 0.975 0.449
Si 0.275 0.025 0.551
Si 0.376 0.126 0.753
Si 0.624 0.874 0.247
```

=====

[2]
Li2PuSi: relaxed, GGA-PBE. Values from VASP.

Values from the calculation:
* ρ: 6995 kg/m3
* formation energy without anion corrections: -0.091 eV/atom
* E_tot: -5.987 eV per atom

The structure in Quantum ESPRESSO input format:
```
&SYSTEM
  ibrav = 0, nat = 4, ntyp = 3
/
ATOMIC_SPECIES
Si 28.09 Si.upf
Li 6.94 Li.upf
Pu 244.00 Pu.upf
CELL_PARAMETERS angstrom
-0.056 4.356 -1.409
-2.087 1.111 -3.921
-3.909 2.383 0.083
ATOMIC_POSITIONS crystal
Si 0.500 0.500 0.500
Li 0.250 0.250 0.250
Li 0.750 0.750 0.750
Pu 0.000 0.000 0.000
```

=====

[3]
Li2PuSi2: relaxed, GGA-PBE. Values from VASP.

Values from the calculation:
* relative energy among the computed polymorphs: 111 meV per atom
* ρ: 6028 kg/m3
* formation energy without anion corrections: -0.187 eV/atom
* E_tot: -5.988 eV per atom

The structure in Quantum ESPRESSO input format:
```
&SYSTEM
  ibrav = 0, nat = 10, ntyp = 3
/
ATOMIC_SPECIES
Li 6.94 Li.upf
Pu 244.00 Pu.upf
Si 28.09 Si.upf
CELL_PARAMETERS angstrom
-3.410 -0.961 1.713
0.269 -3.626 -1.498
5.530 -3.355 9.123
ATOMIC_POSITIONS crystal
Li 0.250 0.751 0.872
Li 0.750 0.249 0.128
Li 0.250 0.250 0.500
Li 0.750 0.750 0.500
Pu 0.250 0.750 0.232
Pu 0.750 0.250 0.768
Si 0.250 0.750 0.659
Si 0.750 0.250 0.341
Si 0.250 0.251 0.000
Si 0.750 0.749 0.000
```

=====

[4]
LiPuSi4: relaxed, GGA-PBE. Values from VASP.

Values from the calculation:
* relative energy among the computed polymorphs: 20 meV per atom
* ρ: 6217 kg/m3
* formation energy without anion corrections: -0.213 eV/atom
* E_tot: -6.536 eV per atom

The structure in Quantum ESPRESSO input format:
```
&SYSTEM
  ibrav = 0, nat = 6, ntyp = 3
/
ATOMIC_SPECIES
Si 28.09 Si.upf
Li 6.94 Li.upf
Pu 244.00 Pu.upf
CELL_PARAMETERS angstrom
5.158 0.000 0.000
2.579 4.467 0.000
2.579 1.489 4.211
ATOMIC_POSITIONS crystal
Si 0.624 0.624 0.128
Si 0.624 0.128 0.624
Si 0.624 0.624 0.624
Si 0.128 0.624 0.624
Li 0.250 0.250 0.250
Pu 0.000 0.000 0.000
```